Record 1
The following is a meta-GGA SCAN calculation of a PBEsol-optimized structure of ScH2Pt, from Alexandria via LeMat-Bulk.

a b c (Å): 3.8664 3.8664 3.8664
angles (deg): 60.00 60.00 60.00
Atoms (fractional coordinates):
Sc: 0.0000 0.0000 0.0000
H: 0.2500 0.2500 0.2500
H: 0.7500 0.7500 0.7500
Pt: 0.5000 0.5000 0.5000

Properties
Raw total energy: -23.12 eV per atom
Theoretical density: 9.83 g/cm3
Space-group type: No. 225

---

Record 2
The following is a meta-GGA SCAN calculation of a PBEsol-optimized structure of Y4Ti2Nb2O15, from Alexandria via LeMat-Bulk.

a b c (Å): 7.1125 7.2016 7.2016
angles (deg): 60.65 60.41 60.41
Atoms (fractional coordinates):
Y: 0.9930 0.2551 0.2551
Y: 0.4967 0.2551 0.2551
Y: 0.4991 0.2580 0.7437
Y: 0.4991 0.7437 0.2580
Ti: 0.4744 0.7615 0.7615
Ti: 0.0026 0.7615 0.7615
Nb: 0.0024 0.7605 0.2346
Nb: 0.0024 0.2346 0.7605
O: 0.3767 0.1233 0.1233
O: 0.6200 0.3800 0.3800
O: 0.8851 0.1149 0.1149
O: 0.3479 0.6521 0.6521
O: 0.9003 0.0985 0.6371
O: 0.3640 0.6371 0.0985
O: 0.3640 0.0985 0.6371
O: 0.9003 0.6371 0.0985
O: 0.0790 0.4210 0.4210
O: 0.6812 0.8188 0.8188
O: 0.0843 0.4215 0.8177
O: 0.6765 0.8177 0.4215
O: 0.6765 0.4215 0.8177
O: 0.0843 0.8177 0.4215
O: 0.1151 0.8849 0.8849

Properties
Formation energy from raw total energies: -3475 meV per atom
Raw total energy: -16.66 eV per atom
Theoretical density: 5.52 g/cm3
Space-group type: No. 44

---

Record 3
The following is a meta-GGA SCAN calculation of a PBEsol-optimized structure of BaCaZn4, from Alexandria via LeMat-Bulk.

a b c (Å): 5.6704 5.6704 5.6704
angles (deg): 60.00 60.00 60.00
Atoms (fractional coordinates):
Zn: 0.3740 0.3740 0.3740
Zn: 0.3740 0.3740 0.8779
Zn: 0.8779 0.3740 0.3740
Zn: 0.3740 0.8779 0.3740
Ca: 0.0000 0.0000 0.0000
Ba: 0.7500 0.7500 0.7500

Properties
Raw total energy: -17.38 eV per atom
Theoretical density: 5.65 g/cm3
Space-group type: No. 216

---

Record 4
The following is a meta-GGA SCAN calculation of a PBEsol-optimized structure of Ta2FeW, from Alexandria via LeMat-Bulk.

a b c (Å): 4.4147 4.4147 4.4147
angles (deg): 60.00 60.00 60.00
Last column: magnetic moment on the atom in μB.
Atoms (fractional coordinates):
Fe: 0.5000 0.5000 0.5000  2.22
Ta: 0.0000 0.0000 0.0000  -0.01
Ta: 0.2500 0.2500 0.2500  -0.40
W: 0.7500 0.7500 0.7500  -0.24

Properties
Raw total energy: -55.15 eV per atom
Theoretical density: 16.42 g/cm3
Space-group type: No. 216

---

Record 5
The following is a meta-GGA SCAN calculation of a PBEsol-optimized structure of Zn2Cr5P6O24, from Alexandria via LeMat-Bulk.

a b c (Å): 6.2922 7.8136 9.2643
angles (deg): 105.05 108.14 101.45
Last column: magnetic moment on the atom in μB.
Atoms (fractional coordinates):
Zn: 0.2931 0.3149 0.7946  0.01
Zn: 0.7069 0.6851 0.2054  0.01
Cr: 0.0483 0.2144 0.0210  2.83
Cr: 0.9517 0.7856 0.9790  2.83
Cr: 0.0000 0.5000 0.5000  3.41
Cr: 0.6188 0.0418 0.3906  2.94
Cr: 0.3812 0.9582 0.6094  2.94
P: 0.2223 0.6422 0.2661  0.01
P: 0.7777 0.3578 0.7339  0.01
P: 0.6069 0.2645 0.1312  0.01
P: 0.3931 0.7355 0.8688  0.01
P: 0.0924 0.0957 0.3339  0.02
P: 0.9076 0.9043 0.6661  0.02
O: 0.1217 0.0363 0.6585  0.00
O: 0.8783 0.9637 0.3415  0.00
O: 0.0699 0.0500 0.1543  0.00
O: 0.9301 0.9500 0.8457  0.00
O: 0.3156 0.0434 0.4192  0.00
O: 0.6844 0.9566 0.5808  0.00
O: 0.2054 0.4396 0.2017  0.01
O: 0.7946 0.5604 0.7983  0.01
O: 0.1150 0.2949 0.4177  0.01
O: 0.8850 0.7051 0.5823  0.01
O: 0.4554 0.7635 0.2721  0.00
O: 0.5446 0.2365 0.7279  0.00
O: 0.2185 0.6918 0.4417  0.00
O: 0.7815 0.3082 0.5583  0.00
O: 0.5523 0.1265 0.2136  0.04
O: 0.4477 0.8735 0.7864  0.04
O: 0.0113 0.6863 0.1568  0.01
O: 0.9887 0.3137 0.8432  0.01
O: 0.7537 0.2171 0.0328  0.03
O: 0.2463 0.7829 0.9672  0.03
O: 0.3687 0.2610 0.0060  0.00
O: 0.6313 0.7390 0.9940  0.00
O: 0.7295 0.4630 0.2650  0.01
O: 0.2705 0.5370 0.7350  0.01

Properties
Formation energy from raw total energies: -2427 meV per atom
Raw total energy: -11.37 eV per atom
Theoretical density: 4.01 g/cm3
Space-group type: No. 2

---

Record 6
The following is a meta-GGA SCAN calculation of a PBEsol-optimized structure of LiMn5O3F5, from Alexandria via LeMat-Bulk.

a b c (Å): 6.2179 6.2523 6.2780
angles (deg): 119.97 90.00 119.82
Last column: magnetic moment on the atom in μB.
Atoms (fractional coordinates):
Li: 0.3886 0.7772 0.6438  0.00
Mn: 0.0241 0.0481 0.9928  4.59
Mn: 0.7135 0.4270 0.2211  4.54
Mn: 0.3874 0.2514 0.6391  4.57
Mn: 0.8640 0.2514 0.6391  4.57
Mn: 0.3762 0.7523 0.1322  4.59
O: 0.6012 0.2024 0.3854  0.13
O: 0.6118 0.2235 0.8475  0.17
O: 0.1509 0.3018 0.8616  0.13
F: 0.6091 0.7369 0.3851  0.09
F: 0.1278 0.7369 0.3851  0.09
F: 0.1380 0.7584 0.8641  0.09
F: 0.6204 0.7584 0.8641  0.09
F: 0.1371 0.2742 0.3890  0.08

Properties
Energy relative to the lowest polymorph listed for this composition: 0 meV/atom
Formation energy from raw total energies: -2435 meV per atom
Raw total energy: -11.72 eV per atom
Theoretical density: 4.07 g/cm3
Space-group type: No. 8

---

Record 7
The following is a meta-GGA SCAN calculation of a PBEsol-optimized structure of TaReRh2, from Alexandria via LeMat-Bulk.

a b c (Å): 3.3112 3.3112 5.4497
angles (deg): 90.00 90.00 90.00
Atoms (fractional coordinates):
Re: 0.5000 0.5000 0.5000
Rh: 0.0000 0.0000 0.7452
Rh: 0.0000 0.0000 0.2548
Ta: 0.5000 0.5000 0.0000

Properties
Energy relative to the lowest polymorph listed for this composition: 327 meV/atom
Raw total energy: -51.36 eV per atom
Theoretical density: 15.92 g/cm3
Space-group type: No. 123

---

Record 8
The following is a meta-GGA SCAN calculation of a PBEsol-optimized structure of HfCdBr3, from Alexandria via LeMat-Bulk.

a b c (Å): 5.2173 5.2173 5.2173
angles (deg): 90.00 90.00 90.00
Atoms (fractional coordinates):
Hf: 0.0000 0.0000 0.0000
Br: 0.0000 0.5000 0.0000
Br: 0.0000 0.0000 0.5000
Br: 0.5000 0.0000 0.0000
Cd: 0.5000 0.5000 0.5000

Properties
Formation energy from raw total energies: -718 meV per atom
Raw total energy: -31.01 eV per atom
Theoretical density: 6.20 g/cm3
Space-group type: No. 221

---

Record 9
The following is a meta-GGA SCAN calculation of a PBEsol-optimized structure of NbSi3Bi, from Alexandria via LeMat-Bulk.

a b c (Å): 5.1322 5.1322 5.1322
angles (deg): 90.00 90.00 90.00
Last column: magnetic moment on the atom in μB.
Atoms (fractional coordinates):
Nb: 0.5000 0.5000 0.5000  2.46
Si: 0.0000 0.5000 0.0000  -0.03
Si: 0.0000 0.0000 0.5000  -0.03
Si: 0.5000 0.0000 0.0000  -0.03
Bi: 0.0000 0.0000 0.0000  0.02

Properties
Energy relative to the lowest polymorph listed for this composition: 1323 meV/atom
Formation energy from raw total energies: 2147 meV per atom
Raw total energy: -26.20 eV per atom
Theoretical density: 4.74 g/cm3
Space-group type: No. 221

---

Record 10
The following is a meta-GGA SCAN calculation of a PBEsol-optimized structure of InGaI2, from Alexandria via LeMat-Bulk.

a b c (Å): 5.6729 5.6729 5.6729
angles (deg): 60.00 60.00 60.00
Atoms (fractional coordinates):
I: 0.2500 0.2500 0.2500
I: 0.7500 0.7500 0.7500
Ga: 0.0000 0.0000 0.0000
In: 0.5000 0.5000 0.5000

Properties
Formation energy from raw total energies: -247 meV per atom
Raw total energy: -31.05 eV per atom
Theoretical density: 5.64 g/cm3
Space-group type: No. 225

---

Record 11
The following is a meta-GGA SCAN calculation of a PBEsol-optimized structure of FeRe2Te, from Alexandria via LeMat-Bulk.

a b c (Å): 2.9796 4.5134 4.8252
angles (deg): 97.81 107.98 90.00
Last column: magnetic moment on the atom in μB.
Atoms (fractional coordinates):
Fe: 0.0000 0.5000 0.0000  2.22
Re: 0.2736 0.2839 0.5471  -0.08
Re: 0.7264 0.7161 0.4529  -0.08
Te: 0.5000 0.0000 0.0000  -0.04

Properties
Formation energy from raw total energies: 594 meV per atom
Raw total energy: -48.80 eV per atom
Theoretical density: 15.11 g/cm3
Space-group type: No. 12

---

Record 12
The following is a meta-GGA SCAN calculation of a PBEsol-optimized structure of YMgCu, from Alexandria via LeMat-Bulk.

a b c (Å): 4.8911 4.8911 5.9017
angles (deg): 90.00 90.00 120.00
Atoms (fractional coordinates):
Y: 0.6667 0.3333 0.7500
Y: 0.3333 0.6667 0.2500
Mg: 0.0000 0.0000 0.0000
Mg: 0.0000 0.0000 0.5000
Cu: 0.6667 0.3333 0.2500
Cu: 0.3333 0.6667 0.7500

Properties
Energy relative to the lowest polymorph listed for this composition: 62 meV/atom
Raw total energy: -16.22 eV per atom
Theoretical density: 4.80 g/cm3
Space-group type: No. 194